(1)
A geometry-optimized HoTlTe structure. Source: OQMD via LeMat-Bulk, functional PBE.

Cell: 7.319 7.319 7.319 Å, 90.00 90.00 90.00°
Space group F-43m (No. 216)
One atom of each set of equivalent atoms:
Ho 0.000 0.000 0.000 [4 per cell]
Tl 0.000 0.000 0.500 [4 per cell]
Te 0.250 0.250 0.750 [4 per cell]

* energy relative to the lowest polymorph listed for this composition: 0 meV/atom
* total energy: -3.6892 eV per atom
* density: 8.419 g/cm³

---

(2)
A geometry-optimized Ho5TlTe4 structure. Source: OQMD via LeMat-Bulk, functional PBE.

Cell: 9.742 9.742 6.142 Å, 90.00 90.00 90.00°
Space group I4/m (No. 87)
One atom of each set of equivalent atoms:
Ho 0.000 0.000 0.000 [2 per cell]
Ho 0.099 0.709 0.500 [8 per cell]
Tl 0.000 0.000 0.500 [2 per cell]
Te 0.096 0.697 0.000 [8 per cell]

* total energy: -4.8876 eV per atom
* density: 8.771 g/cm³

---

(3)
A geometry-optimized HoTmTlTe3 structure. Source: OQMD via LeMat-Bulk, functional PBE.

Cell: 4.389 15.316 11.936 Å, 90.00 90.00 90.00°
Space group Cmcm (No. 63)
One atom of each set of equivalent atoms:
Ho 0.000 0.000 0.000 [4 per cell]
Tm 0.000 0.435 0.250 [4 per cell]
Tl 0.000 0.249 0.750 [4 per cell]
Te 0.000 0.064 0.250 [4 per cell]
Te 0.000 0.358 0.028 [8 per cell]

* energy relative to the lowest polymorph listed for this composition: 68 meV/atom
* total energy: -4.4257 eV per atom
* density: 7.624 g/cm³

---

(4)
A geometry-optimized HoTmTlTe3 structure. Source: OQMD via LeMat-Bulk, functional PBE.

Cell: 4.357 15.313 11.936 Å, 90.00 90.00 90.00°
Space group Cmcm (No. 63)
One atom of each set of equivalent atoms:
Ho 0.000 0.070 0.250 [4 per cell]
Tm 0.000 0.500 0.000 [4 per cell]
Tl 0.000 0.248 0.750 [4 per cell]
Te 0.000 0.142 0.023 [8 per cell]
Te 0.000 0.438 0.250 [4 per cell]

* energy relative to the lowest polymorph listed for this composition: 77 meV/atom
* total energy: -4.4169 eV per atom
* density: 7.682 g/cm³

---

(5)
A geometry-optimized HoTmTlTe3 structure. Source: OQMD via LeMat-Bulk, functional PBE.

Cell: 18.860 4.337 10.051 Å, 90.00 103.31 90.00°
Space group C2/m (No. 12)
One atom of each set of equivalent atoms:
Ho 0.170 0.000 0.073 [4 per cell]
Tm 0.002 0.500 0.209 [4 per cell]
Tl 0.144 0.000 0.552 [4 per cell]
Te 0.000 0.000 0.000 [2 per cell]
Te 0.000 0.500 0.500 [2 per cell]
Te 0.165 0.500 0.850 [4 per cell]
Te 0.166 0.500 0.287 [4 per cell]

* energy relative to the lowest polymorph listed for this composition: 0 meV/atom
* total energy: -4.4937 eV per atom
* density: 7.646 g/cm³

---

(6)
A geometry-optimized HoTlZnTe3 structure. Source: OQMD via LeMat-Bulk, functional PBE.

Cell: 19.643 4.415 9.296 Å, 90.00 102.26 90.00°
Space group C2/m (No. 12)
One atom of each set of equivalent atoms:
Ho 0.172 0.000 0.074 [4 per cell]
Tl 0.134 0.000 0.566 [4 per cell]
Zn 0.034 0.500 0.224 [4 per cell]
Te 0.000 0.000 0.000 [2 per cell]
Te 0.000 0.500 0.500 [2 per cell]
Te 0.171 0.500 0.302 [4 per cell]
Te 0.171 0.500 0.851 [4 per cell]

* energy relative to the lowest polymorph listed for this composition: 138 meV/atom
* total energy: -3.6332 eV per atom
* density: 6.893 g/cm³